[1]
Compound: AcSn3Hg
Source: Alexandria
Functional: PBE-GGA
Structure: relaxed

Results
DFT formation energy ... -0.267 eV per atom
Crystal system ... orthorhombic
Total magnetic moment ... 0.00 μB/cell

Cell: 4.5631 29.7493 4.5260 Å, 90.00 90.00 90.00°
Space group Cmmm (No. 65)
Asymmetric unit:
Ac 0.0000 0.1724 0.0000 [4 per cell]
Sn 0.0000 0.0524 0.5000 [4 per cell]
Sn 0.0000 0.2797 0.5000 [4 per cell]
Sn 0.0000 0.4469 0.0000 [4 per cell]
Hg 0.0000 0.3781 0.5000 [4 per cell]

***

[2]
Compound: Mo2Pt
Source: Alexandria
Functional: PBE-GGA
Structure: relaxed

Results
DFT formation energy ... -0.151 eV per atom
Crystal system ... monoclinic
Total magnetic moment ... 0.00 μB/cell

Cell: 10.5123 2.6963 6.8021 Å, 90.00 103.38 90.00°
Space group C2/m (No. 12)
Asymmetric unit:
Mo 0.1365 0.0000 0.0212 [4 per cell]
Mo 0.1912 0.0000 0.6400 [4 per cell]
Pt 0.0306 0.5000 0.3062 [4 per cell]

***

[3]
Compound: Si3PW
Source: Alexandria
Functional: PBE-GGA
Structure: relaxed

Results
Crystal system ... cubic
Formation energy without anion corrections ... 98.9 kJ/mol of atoms
Total magnetic moment ... 0.01 μB/cell

Cell: 4.7636 4.7636 4.7636 Å, 90.00 90.00 90.00°
Space group Pm-3m (No. 221)
Asymmetric unit:
Si 0.0000 0.0000 0.5000 [3 per cell]
P 0.5000 0.5000 0.5000 [1 per cell]
W 0.0000 0.0000 0.0000 [1 per cell]

***

Number 1: VASP energy -71.02 eV for the cell shown. Number 2: VASP energy -112.63 eV for the cell shown. Number 3: VASP energy -29.51 eV for the cell shown.